1.
# NbAlReNi

A relaxed structure of NbAlReNi (GGA-PBE, Alexandria).

Properties
- space-group type = F-43m, No. 216
- energy of formation from the pure elements (kJ/mol of formula units) = -95

CIF file:
```
data_NbAlReNi
_cell_length_a 4.374
_cell_length_b 4.374
_cell_length_c 4.374
_cell_angle_alpha 60.00
_cell_angle_beta 60.00
_cell_angle_gamma 60.00
_space_group_name_H-M_alt 'P 1'
_space_group_IT_number 1
loop_
_space_group_symop_operation_xyz
'x,y,z'
loop_
_atom_site_label
_atom_site_type_symbol
_atom_site_fract_x
_atom_site_fract_y
_atom_site_fract_z
Re1 Re 0.750 0.750 0.750
Nb1 Nb 0.500 0.500 0.500
Al1 Al 0.000 0.000 0.000
Ni1 Ni 0.250 0.250 0.250
```

2.
# Nb2AlNiSb

A relaxed structure of Nb2AlNiSb (GGA-PBE, Alexandria).

Properties
- energy relative to the elements, uncorrected (eV/atom) = 1.17
- space-group type = P4/mmm, No. 123

CIF file:
```
data_Nb2AlNiSb
_cell_length_a 5.084
_cell_length_b 4.492
_cell_length_c 5.084
_cell_angle_alpha 90.00
_cell_angle_beta 90.00
_cell_angle_gamma 90.00
_space_group_name_H-M_alt 'P 1'
_space_group_IT_number 1
loop_
_space_group_symop_operation_xyz
'x,y,z'
loop_
_atom_site_label
_atom_site_type_symbol
_atom_site_fract_x
_atom_site_fract_y
_atom_site_fract_z
Sb1 Sb 0.000 0.000 0.000
Nb1 Nb 0.000 0.000 0.500
Nb2 Nb 0.500 0.000 0.000
Al1 Al 0.500 0.500 0.500
Ni1 Ni 0.000 0.500 0.000
```

3.
# Sc2NbAl2Ni5

A relaxed structure of Sc2NbAl2Ni5 (GGA-PBE, Alexandria).

Properties
- space-group type = P4/mbm, No. 127
- energy of formation from the pure elements (kJ/mol of formula units) = -394

CIF file:
```
data_Sc2NbAl2Ni5
_cell_length_a 3.359
_cell_length_b 9.356
_cell_length_c 9.356
_cell_angle_alpha 90.00
_cell_angle_beta 90.00
_cell_angle_gamma 90.00
_space_group_name_H-M_alt 'P 1'
_space_group_IT_number 1
loop_
_space_group_symop_operation_xyz
'x,y,z'
loop_
_atom_site_label
_atom_site_type_symbol
_atom_site_fract_x
_atom_site_fract_y
_atom_site_fract_z
Sc1 Sc 0.000 0.674 0.174
Sc2 Sc 0.000 0.326 0.826
Sc3 Sc 0.000 0.174 0.326
Sc4 Sc 0.000 0.826 0.674
Nb1 Nb 0.000 0.000 0.000
Nb2 Nb 0.000 0.500 0.500
Al1 Al 0.000 0.124 0.624
Al2 Al 0.000 0.876 0.376
Al3 Al 0.000 0.624 0.876
Al4 Al 0.000 0.376 0.124
Ni1 Ni 0.500 0.202 0.051
Ni2 Ni 0.500 0.798 0.949
Ni3 Ni 0.500 0.051 0.798
Ni4 Ni 0.500 0.702 0.449
Ni5 Ni 0.500 0.949 0.202
Ni6 Ni 0.500 0.298 0.551
Ni7 Ni 0.500 0.551 0.702
Ni8 Ni 0.500 0.449 0.298
Ni9 Ni 0.500 0.500 0.000
Ni10 Ni 0.500 0.000 0.500
```

4.
# ScNbAl2Ni

A relaxed structure of ScNbAl2Ni (GGA-PBE, Alexandria).

Properties
- space-group type = P4/mmm, No. 123
- energy of formation from the pure elements (kJ/mol of formula units) = 534

CIF file:
```
data_ScNbAl2Ni
_cell_length_a 4.867
_cell_length_b 4.182
_cell_length_c 4.867
_cell_angle_alpha 90.00
_cell_angle_beta 90.00
_cell_angle_gamma 90.00
_space_group_name_H-M_alt 'P 1'
_space_group_IT_number 1
loop_
_space_group_symop_operation_xyz
'x,y,z'
loop_
_atom_site_label
_atom_site_type_symbol
_atom_site_fract_x
_atom_site_fract_y
_atom_site_fract_z
Sc1 Sc 0.000 0.000 0.000
Ni1 Ni 0.000 0.500 0.000
Nb1 Nb 0.500 0.500 0.500
Al1 Al 0.000 0.000 0.500
Al2 Al 0.500 0.000 0.000
```

Number 1: electronic total energy -8.256 eV per atom, theoretical density 10.2 g/cm3, total moment 0.00 μB per cell. Number 2: electronic total energy -5.587 eV per atom, theoretical density 5.6 g/cm3, total moment 0.00 μB per cell. Number 3: electronic total energy -6.321 eV per atom, theoretical density 6.0 g/cm3, total moment 0.00 μB per cell. Number 4: electronic total energy -4.827 eV per atom, theoretical density 4.2 g/cm3, total moment 0.00 μB per cell.